# PBE Tm4TlGa, relaxed
data_Tm4TlGa
_cell_length_a 5.1370
_cell_length_b 22.0095
_cell_length_c 6.3271
_cell_angle_alpha 90.00
_cell_angle_beta 90.00
_cell_angle_gamma 90.00
_symmetry_space_group_name_H-M 'C m c 21'
_symmetry_Int_Tables_number 36
loop_
_symmetry_equiv_pos_as_xyz
'x,y,z'
'-x,-y,z+1/2'
'-x,y,z'
'x,-y,z+1/2'
'x+1/2,y+1/2,z'
'-x+1/2,-y+1/2,z+1/2'
'-x+1/2,y+1/2,z'
'x+1/2,-y+1/2,z+1/2'
loop_
_atom_site_label
_atom_site_type_symbol
_atom_site_fract_x
_atom_site_fract_y
_atom_site_fract_z
Tm1 Tm 0.0000 0.0688 0.0000
Tm2 Tm 0.0000 0.1950 0.7180
Tm3 Tm 0.0000 0.2143 0.2026
Tm4 Tm 0.0000 0.3648 0.9418
Tl1 Tl 0.0000 0.0671 0.4938
Ga1 Ga 0.0000 0.3333 0.4604
# Energy of formation, eV per formula unit: -0.60
# Final energy, eV/atom: -3.981


# PBE Tm6Tl5Ga, relaxed
data_Tm6Tl5Ga
_cell_length_a 16.7015
_cell_length_b 7.3645
_cell_length_c 5.2917
_cell_angle_alpha 90.00
_cell_angle_beta 108.16
_cell_angle_gamma 90.00
_symmetry_space_group_name_H-M 'C 1 2/m 1'
_symmetry_Int_Tables_number 12
loop_
_symmetry_equiv_pos_as_xyz
'x,y,z'
'-x,-y,-z'
'-x,y,-z'
'x,-y,z'
'x+1/2,y+1/2,z'
'-x+1/2,-y+1/2,-z'
'-x+1/2,y+1/2,-z'
'x+1/2,-y+1/2,z'
loop_
_atom_site_label
_atom_site_type_symbol
_atom_site_fract_x
_atom_site_fract_y
_atom_site_fract_z
Tm1 Tm 0.0000 0.2373 0.0000
Tm2 Tm 0.1610 0.2426 0.6611
Tl1 Tl 0.0000 0.5000 0.5000
Tl2 Tl 0.1654 0.5000 0.1657
Tl3 Tl 0.1731 0.0000 0.1732
Ga1 Ga 0.0000 0.0000 0.5000
# Energy of formation, eV per formula unit: -3.89
# Final energy, eV/atom: -3.798


# PBE Tm6Tl5Ga, relaxed
data_Tm6Tl5Ga
_cell_length_a 9.5117
_cell_length_b 11.2556
_cell_length_c 6.3655
_cell_angle_alpha 90.00
_cell_angle_beta 103.80
_cell_angle_gamma 90.00
_symmetry_space_group_name_H-M 'C 1 2/m 1'
_symmetry_Int_Tables_number 12
loop_
_symmetry_equiv_pos_as_xyz
'x,y,z'
'-x,-y,-z'
'-x,y,-z'
'x,-y,z'
'x+1/2,y+1/2,z'
'-x+1/2,-y+1/2,-z'
'-x+1/2,y+1/2,-z'
'x+1/2,-y+1/2,z'
loop_
_atom_site_label
_atom_site_type_symbol
_atom_site_fract_x
_atom_site_fract_y
_atom_site_fract_z
Tm1 Tm 0.2264 0.0000 0.2393
Tm2 Tm 0.2349 0.1608 0.7329
Tl1 Tl 0.0000 0.1878 0.0000
Tl2 Tl 0.0000 0.3486 0.5000
Tl3 Tl 0.0000 0.5000 0.0000
Ga1 Ga 0.0000 0.0000 0.5000
# Energy of formation, eV per formula unit: -3.10
# Final energy, eV/atom: -3.732


# PBE Tm2TlGa, relaxed
data_Tm2TlGa
_cell_length_a 3.6348
_cell_length_b 3.6348
_cell_length_c 27.3011
_cell_angle_alpha 90.00
_cell_angle_beta 90.00
_cell_angle_gamma 120.00
_symmetry_space_group_name_H-M 'R -3 m'
_symmetry_Int_Tables_number 166
_symmetry_space_group_name_Hall '-R 3 2"'
loop_
_atom_site_label
_atom_site_type_symbol
_atom_site_fract_x
_atom_site_fract_y
_atom_site_fract_z
Tm1 Tm 0.0000 0.0000 0.2433
Tl1 Tl 0.0000 0.0000 0.0000
Ga1 Ga 0.0000 0.0000 0.5000
# Energy of formation, eV per formula unit: -1.35
# Final energy, eV/atom: -3.922


# PBE TmTlGa, relaxed
data_TmTlGa
_cell_length_a 3.4826
_cell_length_b 3.4826
_cell_length_c 11.9070
_cell_angle_alpha 90.00
_cell_angle_beta 90.00
_cell_angle_gamma 90.00
_symmetry_space_group_name_H-M 'I 4 m m'
_symmetry_Int_Tables_number 107
_symmetry_space_group_name_Hall 'I 4 -2'
loop_
_atom_site_label
_atom_site_type_symbol
_atom_site_fract_x
_atom_site_fract_y
_atom_site_fract_z
Tm1 Tm 0.0000 0.0000 0.0000
Tl1 Tl 0.0000 0.0000 0.6929
Ga1 Ga 0.0000 0.0000 0.3516
# Energy of formation, eV per formula unit: -0.54
# Final energy, eV/atom: -3.468


# PBE Tm4TlGa3, relaxed
data_Tm4TlGa3
_cell_length_a 4.0783
_cell_length_b 4.3609
_cell_length_c 10.8893
_cell_angle_alpha 90.00
_cell_angle_beta 90.00
_cell_angle_gamma 90.00
_symmetry_space_group_name_H-M 'P m m 2'
_symmetry_Int_Tables_number 25
loop_
_symmetry_equiv_pos_as_xyz
'x,y,z'
'-x,-y,z'
'-x,y,z'
'x,-y,z'
loop_
_atom_site_label
_atom_site_type_symbol
_atom_site_fract_x
_atom_site_fract_y
_atom_site_fract_z
Tm1 Tm 0.0000 0.0000 0.0000
Tm2 Tm 0.0000 0.5000 0.4835
Tm3 Tm 0.5000 0.0000 0.7092
Tm4 Tm 0.5000 0.5000 0.2181
Tl1 Tl 0.0000 0.5000 0.7704
Ga1 Ga 0.0000 0.0000 0.2768
Ga2 Ga 0.5000 0.0000 0.4307
Ga3 Ga 0.5000 0.5000 0.9467
# Energy of formation, eV per formula unit: -4.08
# Final energy, eV/atom: -4.177